No. 1
{"formula": "Dy2GaFeBr2", "functional": "GGA-PBE", "state": "optimized geometry", "cell": [[4.087, 0.000, 0.000], [-2.044, 3.539, 0.000], [0.000, 0.000, 11.036]], "species": ["Dy", "Dy", "Ga", "Fe", "Br", "Br"], "frac_coords": [[0.000, 0.000, 0.000], [0.000, 0.000, 0.346], [0.333, 0.667, 0.168], [0.667, 0.333, 0.171], [0.333, 0.667, 0.512], [0.667, 0.333, 0.832]], "energy_ev_per_atom": -4.969}


No. 2
{"formula": "DyHoFe2Br2", "functional": "GGA-PBE", "state": "optimized geometry", "cell": [[3.845, 0.000, 0.000], [-1.923, 3.330, 0.000], [0.000, 0.000, 11.589]], "species": ["Dy", "Ho", "Fe", "Fe", "Br", "Br"], "frac_coords": [[0.000, 0.000, 0.000], [0.000, 0.000, 0.339], [0.333, 0.667, 0.163], [0.667, 0.333, 0.176], [0.333, 0.667, 0.504], [0.667, 0.333, 0.834]], "energy_ev_per_atom": -5.797}


No. 3
{"formula": "DyTmFe2Br2", "functional": "GGA-PBE", "state": "optimized geometry", "cell": [[3.833, 0.000, 0.000], [-1.917, 3.320, 0.000], [0.000, 0.000, 11.540]], "species": ["Dy", "Tm", "Fe", "Fe", "Br", "Br"], "frac_coords": [[0.000, 0.000, 0.000], [0.000, 0.000, 0.339], [0.333, 0.667, 0.165], [0.667, 0.333, 0.179], [0.333, 0.667, 0.503], [0.667, 0.333, 0.832]], "energy_ev_per_atom": -5.782}